1.
# GGA-PBE Sm7Ir3, optimized geometry
# * VASP energy: -6.531 eV per atom
# * ΔH_f (0 K): -0.57 eV/atom
data_Sm7Ir3
_space_group_name_H-M_alt 'P 63 m c'
_space_group_IT_number 186
_space_group_name_Hall 'P 6c -2c'
_cell_length_a 10.0449
_cell_length_b 10.0449
_cell_length_c 6.3037
_cell_angle_alpha 90.00
_cell_angle_beta 90.00
_cell_angle_gamma 120.00
loop_
_atom_site_label
_atom_site_type_symbol
_atom_site_fract_x
_atom_site_fract_y
_atom_site_fract_z
Sm1 Sm 0.0803 0.5402 0.0000
Sm2 Sm 0.1250 0.2499 0.3096
Sm3 Sm 0.3333 0.6667 0.5251
Ir1 Ir 0.1887 0.3774 0.7439

2.
# GGA-PBE SrV2OsS, optimized geometry
# * formation energy from raw total energies: 0.436 eV/atom
# * VASP energy: -6.620 eV per atom
data_SrV2OsS
_space_group_name_H-M_alt 'P 4/m m m'
_space_group_IT_number 123
_space_group_name_Hall '-P 4 2'
_cell_length_a 4.4619
_cell_length_b 4.4619
_cell_length_c 4.5746
_cell_angle_alpha 90.00
_cell_angle_beta 90.00
_cell_angle_gamma 90.00
loop_
_atom_site_label
_atom_site_type_symbol
_atom_site_fract_x
_atom_site_fract_y
_atom_site_fract_z
Sr1 Sr 0.0000 0.0000 0.0000
V1 V 0.0000 0.5000 0.5000
Os1 Os 0.5000 0.5000 0.0000
S1 S 0.5000 0.5000 0.5000